The following is a DFT calculation (PBE-GGA) of an optimized crystal structure of LaSmPtN2.

POSCAR file:
```
LaSmPtN2
1.0
-0.1664 -1.4800 4.8719
-2.1229 -4.8379 -1.5421
6.2398 -2.4940 -0.5445
La Sm Pt N
2 2 2 4
Cartesian
3.6171 -4.3009 -1.1418
0.3334 -4.5110 3.9271
1.4771 -1.3601 2.2886
4.5963 -2.6139 2.0388
0.0000 0.0000 0.0000
3.1199 -1.2470 -0.2722
4.5708 -7.0763 1.8073
2.4286 -3.6144 2.7858
1.5219 -5.1974 -0.0005
-0.6203 -1.7355 0.9780
```

Summary:
Space group: P2/c, No. 13
Uncorrected formation energy, meV/atom: -940
VASP energy, eV per atom: -7.408